# 1
# La2CrRuW GGA-PBEsol optimized geometry
data_La2CrRuW
_cell_length_a 5.355
_cell_length_b 5.355
_cell_length_c 4.525
_cell_angle_alpha 90.00
_cell_angle_beta 90.00
_cell_angle_gamma 90.00
_symmetry_space_group_name_H-M 'P 4/m m m'
_symmetry_Int_Tables_number 123
_symmetry_space_group_name_Hall '-P 4 2'
loop_
_atom_site_label
_atom_site_type_symbol
_atom_site_fract_x
_atom_site_fract_y
_atom_site_fract_z
_atom_site_occupancy
La1 La 0.000 0.500 0.000 1
Cr1 Cr 0.000 0.000 0.500 1
Ru1 Ru 0.500 0.500 0.500 1
W1 W 0.000 0.000 0.000 1
# **Magnetic moment**: 1.61 μB/cell
# **N(E_F)**: 1.315 states/eV per atom
# **DFT formation energy**: 1.3803 eV/atom
# **Mass density**: 7.87 g/cm³

# 2
# BaHgTe2 GGA-PBEsol optimized geometry
data_BaHgTe2
_cell_length_a 13.093
_cell_length_b 4.594
_cell_length_c 5.041
_cell_angle_alpha 90.00
_cell_angle_beta 92.80
_cell_angle_gamma 90.00
_symmetry_space_group_name_H-M 'C 1 m 1'
_symmetry_Int_Tables_number 8
loop_
_symmetry_equiv_pos_as_xyz
'x,y,z'
'x,-y,z'
'x+1/2,y+1/2,z'
'x+1/2,-y+1/2,z'
loop_
_atom_site_label
_atom_site_type_symbol
_atom_site_fract_x
_atom_site_fract_y
_atom_site_fract_z
_atom_site_occupancy
Ba1 Ba 0.000 0.000 0.000 1
Hg1 Hg 0.282 0.000 0.201 1
Te1 Te 0.211 0.500 0.931 1
Te2 Te 0.462 0.000 0.497 1
# **Formation energy without anion corrections**: -19.8 kcal/mol of atoms
# **Magnetic moment**: 0.00 μB/cell
# **Mass density**: 6.50 g/cm³

# 3
# KGa2CoPb GGA-PBEsol optimized geometry
data_KGa2CoPb
_cell_length_a 5.355
_cell_length_b 5.355
_cell_length_c 5.854
_cell_angle_alpha 90.00
_cell_angle_beta 90.00
_cell_angle_gamma 90.00
_symmetry_space_group_name_H-M 'P 4/m m m'
_symmetry_Int_Tables_number 123
_symmetry_space_group_name_Hall '-P 4 2'
loop_
_atom_site_label
_atom_site_type_symbol
_atom_site_fract_x
_atom_site_fract_y
_atom_site_fract_z
_atom_site_occupancy
K1 K 0.000 0.000 0.000 1
Ga1 Ga 0.000 0.500 0.000 1
Co1 Co 0.500 0.500 0.500 1
Pb1 Pb 0.000 0.000 0.500 1
# **Magnetic moment**: 2.25 μB/cell
# **N(E_F)**: 0.980 states/eV per atom
# **DFT formation energy**: 1.8174 eV/atom
# **Mass density**: 4.40 g/cm³

Copy entry 3 word for word.
# KGa2CoPb GGA-PBEsol optimized geometry
data_KGa2CoPb
_cell_length_a 5.355
_cell_length_b 5.355
_cell_length_c 5.854
_cell_angle_alpha 90.00
_cell_angle_beta 90.00
_cell_angle_gamma 90.00
_symmetry_space_group_name_H-M 'P 4/m m m'
_symmetry_Int_Tables_number 123
_symmetry_space_group_name_Hall '-P 4 2'
loop_
_atom_site_label
_atom_site_type_symbol
_atom_site_fract_x
_atom_site_fract_y
_atom_site_fract_z
_atom_site_occupancy
K1 K 0.000 0.000 0.000 1
Ga1 Ga 0.000 0.500 0.000 1
Co1 Co 0.500 0.500 0.500 1
Pb1 Pb 0.000 0.000 0.500 1
# **Magnetic moment**: 2.25 μB/cell
# **N(E_F)**: 0.980 states/eV per atom
# **DFT formation energy**: 1.8174 eV/atom
# **Mass density**: 4.40 g/cm³

Question: Which value of magnetic moment does entry 2 give?
Answer: 0.00 μB/cell